# 1
# TlRh3I | Alexandria | PBE | optimized geometry
# theoretical density = 9.0 g cm⁻³
# formation energy (no corrections) = 963 meV per atom
# total magnetization = 1.78 μB/cell
# crystal system = cubic
# space group = Pm-3m
# ΔE to the lowest computed polymorph = 0.00 kcal/mol of atoms
data_TlRh3I
_chemical_formula_sum 'Tl1 Rh3 I1'
_cell_length_a 4.900
_cell_length_b 4.900
_cell_length_c 4.900
_cell_angle_alpha 90.00
_cell_angle_beta 90.00
_cell_angle_gamma 90.00
_symmetry_space_group_name_H-M 'P 1'
_symmetry_Int_Tables_number 1
_symmetry_space_group_name_Hall 'P 1'
loop_
_atom_site_label
_atom_site_fract_x
_atom_site_fract_y
_atom_site_fract_z
Rh1 0.000 0.000 0.500
Rh2 0.000 0.500 0.000
Rh3 0.500 0.000 0.000
Tl1 0.500 0.500 0.500
I1 0.000 0.000 0.000

# 2
# ZnCu4 | Alexandria | PBE | optimized geometry
# theoretical density = 6.7 g cm⁻³
# total magnetization = 0.00 μB/cell
# crystal system = cubic
# space group = Im-3m
# ΔE to the lowest computed polymorph = 12.80 kcal/mol of atoms
data_ZnCu4
_chemical_formula_sum 'Zn1 Cu4'
_cell_length_a 4.682
_cell_length_b 4.682
_cell_length_c 4.682
_cell_angle_alpha 109.47
_cell_angle_beta 109.47
_cell_angle_gamma 109.47
_symmetry_space_group_name_H-M 'P 1'
_symmetry_Int_Tables_number 1
_symmetry_space_group_name_Hall 'P 1'
loop_
_atom_site_label
_atom_site_fract_x
_atom_site_fract_y
_atom_site_fract_z
Cu1 0.500 0.500 0.500
Cu2 0.500 0.000 0.000
Cu3 0.000 0.500 0.000
Cu4 0.000 0.000 0.500
Zn1 0.000 0.000 0.000